Record 1
Below is an optimized crystal structure of ScNiBOs, with properties calculated at the GGA-PBE level.

Cell: 5.8453 5.8453 5.8453 Å, 90.00 90.00 90.00°
Closest atoms and distances in Å follow each position.
Space group F-43m (No. 216)
Unique sites:
Sc 0.0000 0.0000 0.0000 x4  4 Ni 2.53, 4 B 2.53
Ni 0.2500 0.2500 0.2500 x4  4 Os 2.53, 4 Sc 2.53
B 0.2500 0.2500 0.7500 x4  4 Sc 2.53, 4 Os 2.53
Os 0.0000 0.0000 0.5000 x4  4 Ni 2.53, 4 B 2.53

Results
- magnetization (Bohr magnetons per cell) = 0.01
- volume (Å³/cell) = 199.7
- total DFT energy (no corrections) (eV/cell) = -118.523

Record 2
Below is an optimized crystal structure of ZnS, with properties calculated at the GGA-PBE level.

Cell: 3.8360 3.8360 169.2361 Å, 90.00 90.00 120.00°
Closest atoms and distances in Å follow each position.
Space group R3m (No. 160, hexagonal axes)
Unique sites:
Zn 0.0000 0.0000 0.0000 x3  4 S 2.35
Zn 0.0000 0.0000 0.0370 x3  4 S 2.35
Zn 0.0000 0.0000 0.0926 x3  4 S 2.35
Zn 0.0000 0.0000 0.1296 x3  4 S 2.35
Zn 0.0000 0.0000 0.1852 x3  4 S 2.35
Zn 0.0000 0.0000 0.2407 x3  4 S 2.35
Zn 0.0000 0.0000 0.2963 x3  4 S 2.35
Zn 0.0000 0.0000 0.3518 x3  4 S 2.35
Zn 0.0000 0.0000 0.4074 x3  4 S 2.35
Zn 0.0000 0.0000 0.4815 x3  4 S 2.35
Zn 0.0000 0.0000 0.5370 x3  4 S 2.35
Zn 0.0000 0.0000 0.5926 x3  4 S 2.35
Zn 0.0000 0.0000 0.6482 x3  4 S 2.35
Zn 0.0000 0.0000 0.7222 x3  4 S 2.35
Zn 0.0000 0.0000 0.7778 x3  4 S 2.35
Zn 0.0000 0.0000 0.8333 x3  4 S 2.35
Zn 0.0000 0.0000 0.8889 x3  4 S 2.35
Zn 0.0000 0.0000 0.9444 x3  4 S 2.35
S 0.0000 0.0000 0.0139 x3  4 Zn 2.35
S 0.0000 0.0000 0.0509 x3  4 Zn 2.35
S 0.0000 0.0000 0.1065 x3  4 Zn 2.35
S 0.0000 0.0000 0.1435 x3  4 Zn 2.35
S 0.0000 0.0000 0.1991 x3  4 Zn 2.35
S 0.0000 0.0000 0.2546 x3  4 Zn 2.35
S 0.0000 0.0000 0.3102 x3  4 Zn 2.35
S 0.0000 0.0000 0.3657 x3  4 Zn 2.35
S 0.0000 0.0000 0.4213 x3  4 Zn 2.35
S 0.0000 0.0000 0.4954 x3  4 Zn 2.35
S 0.0000 0.0000 0.5509 x3  4 Zn 2.35
S 0.0000 0.0000 0.6065 x3  4 Zn 2.35
S 0.0000 0.0000 0.6620 x3  4 Zn 2.35
S 0.0000 0.0000 0.7361 x3  4 Zn 2.35
S 0.0000 0.0000 0.7917 x3  4 Zn 2.35
S 0.0000 0.0000 0.8472 x3  4 Zn 2.35
S 0.0000 0.0000 0.9028 x3  4 Zn 2.35
S 0.0000 0.0000 0.9583 x3  4 Zn 2.35

Results
- volume (Å³/cell) = 2156.7
- total DFT energy (no corrections) (eV/cell) = -378.873

Record 3
Below is an optimized crystal structure of TbErGe2Os, with properties calculated at the GGA-PBE level.

Cell: 10.7543 4.3041 10.1166 Å, 90.00 118.00 90.00°
Closest atoms and distances in Å follow each position.
Space group C2/m (No. 12)
Unique sites:
Tb 0.1853 0.0000 0.1139 x4  6 Ge 2.91-3.21, 2 Os 3.22
Er 0.0025 0.0000 0.6736 x4  6 Ge 2.93-3.12, 4 Os 3.09-3.18
Ge 0.0109 0.5000 0.8735 x4  1 Os 2.61, 1 Ge 2.68, 2 Er 2.93
Ge 0.1416 0.5000 0.5620 x4  3 Os 2.47-2.54, 1 Ge 2.70
Os 0.2311 0.5000 0.3700 x4  4 Ge 2.47-2.61

Results
- magnetization (Bohr magnetons per cell) = 0.04
- volume (Å³/cell) = 413.5
- total DFT energy (no corrections) (eV/cell) = -132.657

Record 4
Below is an optimized crystal structure of Er2TmN3, with properties calculated at the GGA-PBE level.

Cell: 3.4029 3.4029 8.3379 Å, 90.00 90.00 120.00°
Closest atoms and distances in Å follow each position.
Space group P-3m1 (No. 164)
Unique sites:
Er 0.3333 0.6667 0.3331 x2  6 N 2.41
Tm 0.0000 0.0000 0.0000 x1  6 N 2.40
N 0.0000 0.0000 0.5000 x1  6 Er 2.41
N 0.3333 0.6667 0.8339 x2  3 Tm 2.40, 3 Er 2.41

Results
- magnetization (Bohr magnetons per cell) = 0.00
- volume (Å³/cell) = 83.6
- total DFT energy (no corrections) (eV/cell) = -49.360